Entry from Alexandria: a relaxed Nd3ErSn3 crystal (PBE-GGA).

Properties
ΔE_f	-0.45	eV per atom
space-group type	C2/m
calculated volume	232	Å³/f.u.
E	-0.357	Ry/atom

a = 7.999 Å, b = 7.999 Å, c = 7.884 Å
α = 90.20°, β = 90.20°, γ = 113.22°
Element x y z (fractional)
Nd 0.152 0.848 0.000
Nd 0.224 0.776 0.500
Nd 0.369 0.369 0.860
Nd 0.631 0.631 0.140
Nd 0.776 0.224 0.500
Nd 0.848 0.152 0.000
Er 0.291 0.291 0.404
Er 0.709 0.709 0.596
Sn 0.052 0.052 0.687
Sn 0.156 0.506 0.184
Sn 0.494 0.844 0.816
Sn 0.506 0.156 0.184
Sn 0.844 0.494 0.816
Sn 0.948 0.948 0.313

=====

Entry from Alexandria: a relaxed GdHgIr4 crystal (PBE-GGA).

Properties
ΔE_f	-0.24	eV per atom
space-group type	F-43m
calculated volume	107	Å³/f.u.
E	-0.628	Ry/atom

a = 5.335 Å, b = 5.335 Å, c = 5.335 Å
α = 60.00°, β = 60.00°, γ = 60.00°
Element x y z (fractional)
Gd 0.000 0.000 0.000
Hg 0.250 0.250 0.250
Ir 0.126 0.625 0.625
Ir 0.625 0.126 0.625
Ir 0.625 0.625 0.126
Ir 0.625 0.625 0.625

=====

Entry from Alexandria: a relaxed PuZnPb crystal (PBE-GGA).

Properties
ΔE_f	-0.01	eV per atom
space-group type	F-43m
calculated volume	79	Å³/f.u.
E	-0.474	Ry/atom

a = 4.821 Å, b = 4.821 Å, c = 4.821 Å
α = 60.00°, β = 60.00°, γ = 60.00°
Element x y z (fractional)
Pu 0.000 0.000 0.000
Zn 0.750 0.750 0.750
Pb 0.500 0.500 0.500

=====

Entry from Alexandria: a relaxed Cs2LaUSe6 crystal (PBE-GGA).

Properties
space-group type	Fm-3m
calculated volume	360	Å³/f.u.
E	-0.380	Ry/atom

a = 7.986 Å, b = 7.986 Å, c = 7.986 Å
α = 60.00°, β = 60.00°, γ = 60.00°
Element x y z (fractional)
Cs 0.250 0.250 0.250
Cs 0.750 0.750 0.750
La 0.000 0.000 0.000
U 0.500 0.500 0.500
Se 0.263 0.263 0.737
Se 0.263 0.737 0.263
Se 0.263 0.737 0.737
Se 0.737 0.263 0.263
Se 0.737 0.263 0.737
Se 0.737 0.737 0.263